(1)
This record from the Alexandria database describes crystalline Ac4CoNiI2 at its relaxed geometry. The functional is PBE-GGA.

```
Ac4CoNiI2
1.0
4.2980 0.0000 0.0000
0.0000 7.5061 0.1174
0.0000 -2.6493 8.5776
Ni Ac I Co
1 4 2 1
Direct
0.0000 0.0000 0.0000 Ni
0.5000 0.7689 0.8186 Ac
0.0000 0.2797 0.8184 Ac
0.5000 0.2311 0.1814 Ac
0.0000 0.7203 0.1816 Ac
0.0000 0.5000 0.5000 I
0.5000 0.0000 0.5000 I
0.5000 0.5000 0.0000 Co
```

The uncorrected energy is -4.7315 eV per atom. As for the total magnetization: 0.000 μB per atom. Its space group is P2/m (10).

=====

(2)
This record from the Alexandria database describes crystalline Pm7AlSn5 at its relaxed geometry. The functional is PBE-GGA.

```
Pm7AlSn5
1.0
-2.4575 -5.8002 -0.0547
1.7233 -4.2187 7.1682
-8.0333 -0.0433 2.7593
Sn Pm Al
5 7 1
Direct
0.5189 0.4733 0.9921 Sn
0.0157 0.4733 0.9921 Sn
0.5189 0.9921 0.4733 Sn
0.7784 0.7216 0.7216 Sn
0.0157 0.9921 0.4733 Sn
0.2274 0.7726 0.7726 Pm
0.5301 0.8096 0.1302 Pm
0.0129 0.6591 0.3150 Pm
0.0129 0.3150 0.6591 Pm
0.6258 0.3742 0.3742 Pm
0.5301 0.1302 0.8096 Pm
0.2855 0.2145 0.2145 Pm
0.9278 0.0722 0.0722 Al
```

The value obtained for the formation energy from the elements is -0.44 eV per atom. As for the total magnetization: 0.000 μB per atom. Its space group is Imm2 (44).

=====

(3)
This record from the Alexandria database describes crystalline PmPuInAu at its relaxed geometry. The functional is PBE-GGA.

```
PmPuInAu
1.0
-0.3785 1.8309 -4.9771
-3.3009 -2.3395 -3.4493
-4.4112 2.5123 -1.5801
Pu Pm In Au
1 1 1 1
Direct
0.7500 0.7500 0.7500 Pu
0.2500 0.2500 0.2500 Pm
0.5000 0.5000 0.5000 In
0.0000 0.0000 0.0000 Au
```

The value obtained for the formation energy from the elements is -0.36 eV per atom. As for the total magnetization: 1.452 μB per atom. Its space group is F-43m (216).

=====

(4)
This record from the Alexandria database describes crystalline Pm5SmYHo2 at its relaxed geometry. The functional is PBE-GGA.

```
Pm5SmYHo2
1.0
-4.8312 1.5833 2.4865
5.8460 -4.3469 7.6858
4.2465 9.5489 2.1706
Sm Pm Y Ho
2 10 2 4
Direct
0.2006 0.4013 0.0106 Sm
0.7994 0.5987 0.5106 Sm
0.7202 0.4404 0.8097 Pm
0.4798 0.9596 0.7421 Pm
0.0159 0.0318 0.0210 Pm
0.9841 0.9682 0.5210 Pm
0.6098 0.2195 0.5247 Pm
0.5202 0.0404 0.2421 Pm
0.7023 0.4046 0.2059 Pm
0.2798 0.5596 0.3097 Pm
0.3902 0.7805 0.0247 Pm
0.2977 0.5954 0.7059 Pm
0.4097 0.8194 0.4572 Y
0.5903 0.1806 0.9572 Y
0.8885 0.7769 0.2369 Ho
0.1155 0.2309 0.3157 Ho
0.8845 0.7691 0.8157 Ho
0.1115 0.2231 0.7369 Ho
```

The value obtained for the formation energy from the elements is 0.15 eV per atom. As for the total magnetization: 0.000 μB per atom. Its space group is Cmc2_1 (36).

=====

(5)
This record from the Alexandria database describes crystalline KLaSiPt2 at its relaxed geometry. The functional is PBE-GGA.

```
KLaSiPt2
1.0
-3.1180 -3.1256 1.8453
2.8986 -0.1737 4.6035
-2.5847 3.6199 1.7641
Pt K Si La
2 1 1 1
Direct
0.5000 0.0000 0.0000 Pt
0.0000 0.0000 0.5000 Pt
0.5000 0.5000 0.5000 K
0.0000 0.0000 0.0000 Si
0.0000 0.5000 0.0000 La
```

The uncorrected energy is -4.7806 eV per atom. As for the total magnetization: 0.000 μB per atom. Its space group is P4/mmm (123).

=====

(6)
This record from the Alexandria database describes crystalline Be2SbW at its relaxed geometry. The functional is PBE-GGA.

```
Be2SbW
1.0
4.3967 0.0000 0.0000
2.1984 3.8077 0.0000
2.1984 1.2692 3.5899
Sb Be W
1 2 1
Direct
0.5000 0.5000 0.5000 Sb
0.0000 0.0000 0.0000 Be
0.2500 0.2500 0.2500 Be
0.7500 0.7500 0.7500 W
```

The uncorrected energy is -5.1765 eV per atom. As for the total magnetization: 0.166 μB per atom. Its space group is F-43m (216).

=====

(7)
This record from the Alexandria database describes crystalline Cs2PrCd2O4 at its relaxed geometry. The functional is PBE-GGA.

```
Cs2PrCd2O4
1.0
3.6953 0.0000 0.0000
0.0000 7.2735 0.5505
-1.8476 -2.3164 7.5633
Cd Cs Pr O
2 2 1 4
Direct
0.6813 0.0413 0.3626 Cd
0.3187 0.9587 0.6374 Cd
0.8748 0.4372 0.7496 Cs
0.1252 0.5628 0.2504 Cs
0.0000 0.0000 0.0000 Pr
0.5495 0.8297 0.0989 O
0.1516 0.1892 0.3032 O
0.4505 0.1703 0.9011 O
0.8484 0.8108 0.6968 O
```

The uncorrected energy is -4.6655 eV per atom. As for the total magnetization: 0.000 μB per atom. Its space group is C2/m (12).

=====

(8)
This record from the Alexandria database describes crystalline CeCrAs2 at its relaxed geometry. The functional is PBE-GGA.

```
CeCrAs2
1.0
3.9898 0.0000 0.0000
1.9949 3.4553 0.0000
1.9949 1.1518 5.9351
As Ce Cr
2 1 1
Direct
0.7328 0.7328 0.8016 As
0.2672 0.2672 0.1984 As
0.5000 0.5000 0.5000 Ce
0.0000 0.0000 0.0000 Cr
```

The value obtained for the formation energy from the elements is -0.76 eV per atom. As for the total magnetization: 0.491 μB per atom. Its space group is R-3m (166).